DFT (PBE with a Hubbard U) results for a relaxed Li7Mn2Co3O12 crystal.

abc: 4.9600 4.9643 9.7360
angles: 85.51 79.78 60.69
Element x y z (fractional)
Li1 0.0000 0.0000 0.0000
Li2 0.0864 0.3212 0.7519
Li3 0.2375 0.0083 0.2489
Li4 0.4251 0.6657 0.7512
Li5 0.5920 0.3315 0.2478
Li6 0.7554 0.9979 0.7516
Li7 0.8974 0.6882 0.2483
Mn1 0.1694 0.6633 0.5004
Mn2 0.3317 0.3348 0.0003
Co1 0.5034 0.9993 0.5003
Co2 0.6656 0.6681 0.0004
Co3 0.8347 0.3294 0.5002
O1 0.0376 0.6392 0.8877
O2 0.1299 0.0056 0.6114
O3 0.2089 0.3213 0.3911
O4 0.3214 0.6456 0.1127
O5 0.4002 0.9923 0.8897
O6 0.4891 0.3050 0.6166
O7 0.5447 0.6614 0.3923
O8 0.6033 0.0009 0.1117
O9 0.6842 0.3580 0.8888
O10 0.7937 0.6663 0.6085
O11 0.8505 0.0224 0.3823
O12 0.9551 0.3669 0.1123

* polymorph energy (0 for the lowest one): 0.009 eV per atom
* density: 4.26 g/cm3